Computed, not measured: a geometry-optimized Cu2AgF6 structure at the PBE level of DFT.

Geometry as POSCAR:
```
Cu2AgF6
1.0
4.859 0.000 0.000
0.000 4.859 0.000
0.000 0.000 9.782
Cu Ag F
4 2 12
direct
0.000 0.000 0.168
0.000 0.000 0.832
0.500 0.500 0.332
0.500 0.500 0.668
0.000 0.000 0.500
0.500 0.500 0.000
0.177 0.177 0.000
0.209 0.209 0.316
0.209 0.209 0.684
0.291 0.709 0.184
0.291 0.709 0.816
0.323 0.677 0.500
0.677 0.323 0.500
0.709 0.291 0.184
0.709 0.291 0.816
0.791 0.791 0.316
0.791 0.791 0.684
0.823 0.823 0.000
```

Properties
* symmetry: No. 136
* E above lowest polymorph: 19 meV/atom
* E: -69.52 eV for the cell shown
* raw formation energy: -1388 meV/atom

Computed, not measured: a geometry-optimized AlRe2Si structure at the PBE level of DFT.

Geometry as POSCAR:
```
AlRe2Si
1.0
0.000 3.063 3.063
3.063 0.000 3.063
3.063 3.063 0.000
Al Re Si
1 2 1
direct
0.000 0.000 0.000
0.500 0.500 0.500
0.750 0.750 0.750
0.250 0.250 0.250
```

Properties
* symmetry: No. 216
* E above lowest polymorph: 435 meV/atom
* E: -33.40 eV for the cell shown
* raw formation energy: 165 meV/atom

Computed, not measured: a geometry-optimized Dy5Ho2Bi5 structure at the PBE level of DFT.

Geometry as POSCAR:
```
Dy5Ho2Bi5
1.0
7.301 -2.216 0.000
7.301 2.216 0.000
-4.778 0.000 11.793
Dy Ho Bi
5 2 5
direct
0.000 0.000 0.000
0.163 0.163 0.530
0.209 0.209 0.834
0.791 0.791 0.166
0.837 0.837 0.470
0.450 0.450 0.712
0.550 0.550 0.288
0.197 0.197 0.282
0.380 0.380 0.063
0.500 0.500 0.500
0.620 0.620 0.937
0.803 0.803 0.718
```

Properties
* ΔE_f: -0.58 eV/atom
* symmetry: No. 12
* E: -58.53 eV for the cell shown